[1]
# Al3GeIr (PBE-GGA, optimized geometry)
data_Al3GeIr
_chemical_formula_sum 'Al3 Ge1 Ir1'
_symmetry_space_group_name_H-M 'P m -3 m'
_symmetry_Int_Tables_number 221
_symmetry_space_group_name_Hall '-P 4 2 3'
_cell_length_a 4.642
_cell_length_b 4.642
_cell_length_c 4.642
_cell_angle_alpha 90.00
_cell_angle_beta 90.00
_cell_angle_gamma 90.00
loop_
_atom_site_label
_atom_site_fract_x
_atom_site_fract_y
_atom_site_fract_z
Al1 0.000 0.000 0.500
Ge1 0.000 0.000 0.000
Ir1 0.500 0.500 0.500
# Energy   -19.70 eV/f.u.
# Mass density   5.740 g/cm³
# Formation enthalpy at 0 K   1001 meV/atom
# Total magnetization   0.00 Bohr magnetons per cell


[2]
# BeV8Co2 (PBE-GGA, optimized geometry)
data_BeV8Co2
_chemical_formula_sum 'Be2 V16 Co4'
_symmetry_space_group_name_H-M 'C 1 2/m 1'
_symmetry_Int_Tables_number 12
_cell_length_a 10.552
_cell_length_b 6.911
_cell_length_c 4.291
_cell_angle_alpha 90.00
_cell_angle_beta 107.83
_cell_angle_gamma 90.00
loop_
_symmetry_equiv_pos_as_xyz
'x,y,z'
'-x,-y,-z'
'-x,y,-z'
'x,-y,z'
'x+1/2,y+1/2,z'
'-x+1/2,-y+1/2,-z'
'-x+1/2,y+1/2,-z'
'x+1/2,-y+1/2,z'
loop_
_atom_site_label
_atom_site_fract_x
_atom_site_fract_y
_atom_site_fract_z
Be1 0.000 0.000 0.000
V1 0.099 0.288 0.870
V2 0.106 0.500 0.328
V3 0.125 0.000 0.526
Co1 0.223 0.000 0.094
# Energy   -87.24 eV/f.u.
# Mass density   5.958 g/cm³
# Formation enthalpy at 0 K   332 meV/atom
# Total magnetization   0.00 Bohr magnetons per cell


[3]
# Np2SbPt (PBE-GGA, optimized geometry)
data_Np2SbPt
_chemical_formula_sum 'Np6 Sb3 Pt3'
_symmetry_space_group_name_H-M 'R -3 m'
_symmetry_Int_Tables_number 166
_symmetry_space_group_name_Hall '-R 3 2"'
_cell_length_a 4.1950
_cell_length_b 4.1950
_cell_length_c 21.1245
_cell_angle_alpha 90.00
_cell_angle_beta 90.00
_cell_angle_gamma 120.00
loop_
_atom_site_label
_atom_site_fract_x
_atom_site_fract_y
_atom_site_fract_z
Np1 0.0000 0.0000 0.2394
Sb1 0.0000 0.0000 0.0000
Pt1 0.0000 0.0000 0.5000
# Energy   -36.95 eV/f.u.
# Mass density   12.237 g/cm³
# ΔE_f (raw)   -5.236 kcal/mol of atoms
# Total magnetization   24.88 Bohr magnetons per cell


[4]
# MgScMn2 (PBE-GGA, optimized geometry)
data_MgScMn2
_chemical_formula_sum 'Mg1 Sc1 Mn2'
_symmetry_space_group_name_H-M 'P 4 m m'
_symmetry_Int_Tables_number 99
_cell_length_a 2.930
_cell_length_b 2.930
_cell_length_c 7.647
_cell_angle_alpha 90.00
_cell_angle_beta 90.00
_cell_angle_gamma 90.00
loop_
_symmetry_equiv_pos_as_xyz
'x,y,z'
'-y,x,z'
'-x,-y,z'
'y,-x,z'
'-x,y,z'
'y,x,z'
'x,-y,z'
'-y,-x,z'
loop_
_atom_site_label
_atom_site_fract_x
_atom_site_fract_y
_atom_site_fract_z
Mg1 0.000 0.000 0.000
Sc1 0.500 0.500 0.655
Mn1 0.000 0.000 0.407
Mn2 0.500 0.500 0.254
# Energy   -25.99 eV/f.u.
# Mass density   4.531 g/cm³
# Formation enthalpy at 0 K   70 meV/atom
# Total magnetization   1.03 Bohr magnetons per cell


[5]
# HoErGaSn (PBE-GGA, optimized geometry)
data_HoErGaSn
_chemical_formula_sum 'Ho2 Er2 Ga2 Sn2'
_symmetry_space_group_name_H-M 'A m m 2'
_symmetry_Int_Tables_number 38
_cell_length_a 4.136
_cell_length_b 4.429
_cell_length_c 11.064
_cell_angle_alpha 90.00
_cell_angle_beta 90.00
_cell_angle_gamma 90.00
loop_
_symmetry_equiv_pos_as_xyz
'x,y,z'
'-x,-y,z'
'-x,y,z'
'x,-y,z'
'x,y+1/2,z+1/2'
'-x,-y+1/2,z+1/2'
'-x,y+1/2,z+1/2'
'x,-y+1/2,z+1/2'
loop_
_atom_site_label
_atom_site_fract_x
_atom_site_fract_y
_atom_site_fract_z
Ho1 0.000 0.000 0.000
Er1 0.500 0.000 0.278
Ga1 0.500 0.000 0.547
Sn1 0.000 0.000 0.717
# Energy   -18.90 eV/f.u.
# Mass density   8.530 g/cm³
# Formation enthalpy at 0 K   -683 meV/atom
# Total magnetization   0.00 Bohr magnetons per cell